Entry from Alexandria: an optimized crystal structure of TaBeCo2 (PBE).

abc: 4.0838 4.0838 3.1051
angles: 90.00 90.00 110.09
Fractional coordinates of all 4 atoms:
1 Ta 0.0000 0.0000 0.0000
2 Be 0.5000 0.5000 0.0000
3 Co 0.3034 0.6966 0.5000
4 Co 0.6966 0.3034 0.5000

Values from the calculation:
The calculation puts the electronic total energy at -28.70 eV per cell. The total moment is 0.65 μB per cell. The energy of formation is 1.1 eV per formula unit.